No. 1
# NbNiPd

Crystalline NbNiPd at its relaxed geometry (PBE, the Alexandria database).

E above lowest polymorph, eV/f.u.: 0.29
SG: C2/c, No. 15
ΔE_f, eV/atom: -0.2418

Structure (CIF):
```
data_NbNiPd
_chemical_formula_sum 'Nb2 Ni2 Pd2'
_space_group_name_H-M_alt 'P 1'
_space_group_IT_number 1
_cell_length_a 4.795
_cell_length_b 4.795
_cell_length_c 4.761
_cell_angle_alpha 98.72
_cell_angle_beta 98.72
_cell_angle_gamma 121.54
loop_
_space_group_symop_operation_xyz
'x,y,z'
loop_
_atom_site_label
_atom_site_type_symbol
_atom_site_fract_x
_atom_site_fract_y
_atom_site_fract_z
Nb1 Nb 0.107 0.893 0.750
Nb2 Nb 0.893 0.107 0.250
Ni1 Ni 0.240 0.760 0.250
Ni2 Ni 0.760 0.240 0.750
Pd1 Pd 0.425 0.575 0.750
Pd2 Pd 0.575 0.425 0.250
```



No. 2
# NaSbRu2Br

Crystalline NaSbRu2Br at its relaxed geometry (PBE, the Alexandria database).

Formation energy without anion corrections, eV per formula unit: 4.6
SG: P4/mmm, No. 123

Structure (CIF):
```
data_NaSbRu2Br
_chemical_formula_sum 'Na1 Sb1 Ru2 Br1'
_space_group_name_H-M_alt 'P 1'
_space_group_IT_number 1
_cell_length_a 4.924
_cell_length_b 4.924
_cell_length_c 6.205
_cell_angle_alpha 90.00
_cell_angle_beta 90.00
_cell_angle_gamma 90.00
loop_
_space_group_symop_operation_xyz
'x,y,z'
loop_
_atom_site_label
_atom_site_type_symbol
_atom_site_fract_x
_atom_site_fract_y
_atom_site_fract_z
Na1 Na 0.000 0.000 0.000
Sb1 Sb 0.000 0.000 0.500
Ru1 Ru 0.000 0.500 0.500
Ru2 Ru 0.500 0.000 0.500
Br1 Br 0.500 0.500 0.000
```



No. 3
# MnMoOs2N

Crystalline MnMoOs2N at its relaxed geometry (PBE, the Alexandria database).

Formation energy without anion corrections, eV per formula unit: 1.7
SG: P4/mmm, No. 123

Structure (CIF):
```
data_MnMoOs2N
_chemical_formula_sum 'Mn1 Mo1 Os2 N1'
_space_group_name_H-M_alt 'P 1'
_space_group_IT_number 1
_cell_length_a 4.027
_cell_length_b 4.027
_cell_length_c 3.864
_cell_angle_alpha 90.00
_cell_angle_beta 90.00
_cell_angle_gamma 90.00
loop_
_space_group_symop_operation_xyz
'x,y,z'
loop_
_atom_site_label
_atom_site_type_symbol
_atom_site_fract_x
_atom_site_fract_y
_atom_site_fract_z
Mn1 Mn 0.000 0.000 0.000
Mo1 Mo 0.500 0.500 0.000
Os1 Os 0.000 0.500 0.500
Os2 Os 0.500 0.000 0.500
N1 N 0.000 0.000 0.500
```



No. 4
# Ce4Ga3Hg

Crystalline Ce4Ga3Hg at its relaxed geometry (PBE, the Alexandria database).

E above lowest polymorph, eV/f.u.: 0.00
SG: Pmmm, No. 47
ΔE_f, eV/atom: -0.4244

Structure (CIF):
```
data_Ce4Ga3Hg
_chemical_formula_sum 'Ce4 Ga3 Hg1'
_space_group_name_H-M_alt 'P 1'
_space_group_IT_number 1
_cell_length_a 4.439
_cell_length_b 4.592
_cell_length_c 9.207
_cell_angle_alpha 90.00
_cell_angle_beta 90.00
_cell_angle_gamma 90.00
loop_
_space_group_symop_operation_xyz
'x,y,z'
loop_
_atom_site_label
_atom_site_type_symbol
_atom_site_fract_x
_atom_site_fract_y
_atom_site_fract_z
Ce1 Ce 0.000 0.000 0.000
Ce2 Ce 0.000 0.000 0.500
Ce3 Ce 0.000 0.500 0.242
Ce4 Ce 0.000 0.500 0.758
Ga1 Ga 0.500 0.000 0.244
Ga2 Ga 0.500 0.000 0.756
Ga3 Ga 0.500 0.500 0.000
Hg1 Hg 0.500 0.500 0.500
```



No. 5
# NaBi2Pd4

Crystalline NaBi2Pd4 at its relaxed geometry (PBE, the Alexandria database).

E above lowest polymorph, eV/f.u.: 0.00
SG: P4_2/mnm, No. 136
ΔE_f, eV/atom: -0.2611

Structure (CIF):
```
data_NaBi2Pd4
_chemical_formula_sum 'Na2 Bi4 Pd8'
_space_group_name_H-M_alt 'P 1'
_space_group_IT_number 1
_cell_length_a 8.242
_cell_length_b 8.242
_cell_length_c 4.369
_cell_angle_alpha 90.00
_cell_angle_beta 90.00
_cell_angle_gamma 90.00
loop_
_space_group_symop_operation_xyz
'x,y,z'
loop_
_atom_site_label
_atom_site_type_symbol
_atom_site_fract_x
_atom_site_fract_y
_atom_site_fract_z
Na1 Na 0.000 0.000 0.000
Na2 Na 0.500 0.500 0.500
Bi1 Bi 0.215 0.215 0.500
Bi2 Bi 0.285 0.715 0.000
Bi3 Bi 0.715 0.285 0.000
Bi4 Bi 0.785 0.785 0.500
Pd1 Pd 0.093 0.646 0.500
Pd2 Pd 0.146 0.407 0.000
Pd3 Pd 0.354 0.907 0.500
Pd4 Pd 0.407 0.146 0.000
Pd5 Pd 0.593 0.854 0.000
Pd6 Pd 0.646 0.093 0.500
Pd7 Pd 0.854 0.593 0.000
Pd8 Pd 0.907 0.354 0.500
```



No. 6
# Mg2ScSe

Crystalline Mg2ScSe at its relaxed geometry (PBE, the Alexandria database).

Formation energy without anion corrections, eV per formula unit: -1.5
SG: P2/m, No. 10

Structure (CIF):
```
data_Mg2ScSe
_chemical_formula_sum 'Mg2 Sc1 Se1'
_space_group_name_H-M_alt 'P 1'
_space_group_IT_number 1
_cell_length_a 3.945
_cell_length_b 3.934
_cell_length_c 5.728
_cell_angle_alpha 90.00
_cell_angle_beta 98.95
_cell_angle_gamma 90.00
loop_
_space_group_symop_operation_xyz
'x,y,z'
loop_
_atom_site_label
_atom_site_type_symbol
_atom_site_fract_x
_atom_site_fract_y
_atom_site_fract_z
Mg1 Mg 0.070 0.000 0.251
Mg2 Mg 0.930 0.000 0.749
Sc1 Sc 0.500 0.500 0.000
Se1 Se 0.500 0.500 0.500
```



What did the first record say?
# NbNiPd

Crystalline NbNiPd at its relaxed geometry (PBE, the Alexandria database).

E above lowest polymorph, eV/f.u.: 0.29
SG: C2/c, No. 15
ΔE_f, eV/atom: -0.2418

Structure (CIF):
```
data_NbNiPd
_chemical_formula_sum 'Nb2 Ni2 Pd2'
_space_group_name_H-M_alt 'P 1'
_space_group_IT_number 1
_cell_length_a 4.795
_cell_length_b 4.795
_cell_length_c 4.761
_cell_angle_alpha 98.72
_cell_angle_beta 98.72
_cell_angle_gamma 121.54
loop_
_space_group_symop_operation_xyz
'x,y,z'
loop_
_atom_site_label
_atom_site_type_symbol
_atom_site_fract_x
_atom_site_fract_y
_atom_site_fract_z
Nb1 Nb 0.107 0.893 0.750
Nb2 Nb 0.893 0.107 0.250
Ni1 Ni 0.240 0.760 0.250
Ni2 Ni 0.760 0.240 0.750
Pd1 Pd 0.425 0.575 0.750
Pd2 Pd 0.575 0.425 0.250
```